Record 1
# VReGeCl2

A geometry-optimized VReGeCl2 structure (PBE, the Alexandria database).

a = 4.674 Å, b = 5.141 Å, c = 4.674 Å
α = 90.00°, β = 90.00°, γ = 90.00°
Positions (direct):
Re (0.000, 0.500, 0.000)
Cl (0.000, 0.000, 0.500)
V (0.500, 0.500, 0.500)
Cl (0.500, 0.000, 0.000)
Ge (0.000, 0.000, 0.000)

Output
calculated density	5.63	g/cm3
V	22.5	A^3/atom
raw total energy	-4.38	eV/atom



Record 2
# MnMoSe2

A geometry-optimized MnMoSe2 structure (PBE, the Alexandria database).

a = 5.569 Å, b = 5.569 Å, c = 6.617 Å
α = 65.11°, β = 65.11°, γ = 90.00°
Positions (direct):
Mn (0.250, 0.750, 0.500)
Mn (0.500, 0.500, 0.000)
Mo (0.000, 0.000, 0.000)
Se (0.875, 0.848, 0.750)
Se (0.598, 0.125, 0.250)
Se (0.375, 0.402, 0.750)
Mo (0.750, 0.250, 0.500)
Se (0.152, 0.625, 0.250)

Output
energy above the most stable polymorph in this dataset	0.597	eV/atom
calculated density	6.22	g/cm3
V	20.6	A^3/atom
raw total energy	-6.45	eV/atom



Record 3
# FeTc3Bi

A geometry-optimized FeTc3Bi structure (PBE, the Alexandria database).

a = 4.497 Å, b = 4.497 Å, c = 4.497 Å
α = 90.00°, β = 90.00°, γ = 90.00°
Positions (direct):
Tc (0.000, 0.000, 0.500)
Tc (0.000, 0.500, 0.000)
Fe (0.000, 0.000, 0.000)
Bi (0.500, 0.500, 0.500)
Tc (0.500, 0.000, 0.000)

Output
energy above the most stable polymorph in this dataset	0.000	eV/atom
calculated density	10.20	g/cm3
V	18.2	A^3/atom
raw total energy	-7.56	eV/atom



Record 4
# BaCa3Rh

A geometry-optimized BaCa3Rh structure (PBE, the Alexandria database).

a = 8.262 Å, b = 6.424 Å, c = 8.262 Å
α = 89.99°, β = 119.97°, γ = 90.01°
Positions (direct):
Rh (0.286, 0.326, 0.764)
Ca (0.446, 0.076, 0.603)
Ca (0.607, 0.576, 0.924)
Ca (0.446, 0.076, 0.085)
Rh (0.286, 0.826, 0.764)
Ca (0.125, 0.576, 0.924)
Ca (0.125, 0.576, 0.442)
Ba (0.620, 0.576, 0.430)
Ba (0.952, 0.076, 0.097)
Ca (0.965, 0.076, 0.603)

Output
energy above the most stable polymorph in this dataset	0.000	eV/atom
calculated density	3.15	g/cm3
V	38.0	A^3/atom
raw total energy	-3.28	eV/atom



Record 5
# NaHgAuSe2

A geometry-optimized NaHgAuSe2 structure (PBE, the Alexandria database).

a = 6.764 Å, b = 5.394 Å, c = 7.602 Å
α = 90.36°, β = 90.00°, γ = 90.00°
Positions (direct):
Se (0.705, 0.734, 0.998)
Se (0.295, 0.734, 0.498)
Se (0.295, 0.266, 0.002)
Se (0.705, 0.266, 0.502)
Na (0.004, 0.500, 0.750)
Hg (0.501, 0.000, 0.250)
Hg (0.499, 0.000, 0.750)
Na (0.996, 0.500, 0.250)
Au (0.000, 0.000, 0.500)
Au (0.000, 0.000, 0.000)

Output
calculated density	6.93	g/cm3
V	27.7	A^3/atom
raw total energy	-2.82	eV/atom



Record 6
# Ga2Ni2I

A geometry-optimized Ga2Ni2I structure (PBE, the Alexandria database).

a = 4.088 Å, b = 4.088 Å, c = 6.123 Å
α = 70.50°, β = 70.50°, γ = 90.00°
Positions (direct):
Ga (0.378, 0.378, 0.243)
I (0.000, 0.000, 0.000)
Ni (0.750, 0.250, 0.500)
Ni (0.250, 0.750, 0.500)
Ga (0.622, 0.622, 0.757)

Output
energy above the most stable polymorph in this dataset	0.000	eV/atom
calculated density	7.06	g/cm3
V	18.0	A^3/atom
raw total energy	-3.64	eV/atom



Record 7
# AcNd3Sm4

A geometry-optimized AcNd3Sm4 structure (PBE, the Alexandria database).

a = 6.440 Å, b = 7.464 Å, c = 11.952 Å
α = 90.00°, β = 90.00°, γ = 90.00°
Positions (direct):
Sm (0.479, 0.381, 0.000)
Nd (0.145, 0.871, 0.251)
Ac (0.987, 0.126, 0.000)
Sm (0.649, 0.621, 0.752)
Nd (0.645, 0.129, 0.249)
Sm (0.149, 0.379, 0.252)
Sm (0.979, 0.619, 0.500)
Sm (0.479, 0.377, 0.500)
Ac (0.487, 0.874, 0.500)
Nd (0.645, 0.129, 0.751)
Sm (0.649, 0.621, 0.248)
Nd (0.482, 0.869, 0.000)
Sm (0.979, 0.623, 0.000)
Nd (0.145, 0.871, 0.749)
Sm (0.149, 0.379, 0.748)
Nd (0.982, 0.131, 0.500)

Output
energy above the most stable polymorph in this dataset	0.017	eV/atom
calculated density	7.29	g/cm3
V	35.9	A^3/atom
raw total energy	-4.62	eV/atom



Record 8
# NaLa2Y

A geometry-optimized NaLa2Y structure (PBE, the Alexandria database).

a = 3.793 Å, b = 6.099 Å, c = 6.099 Å
α = 90.00°, β = 90.00°, γ = 90.00°
Positions (direct):
Na (0.500, 0.000, 0.000)
Y (0.500, 0.500, 0.500)
La (0.000, 0.000, 0.500)
La (0.000, 0.500, 0.000)

Output
energy above the most stable polymorph in this dataset	0.112	eV/atom
calculated density	4.59	g/cm3
V	35.3	A^3/atom
raw total energy	-4.23	eV/atom



Record 9
# TaTlBr

A geometry-optimized TaTlBr structure (PBE, the Alexandria database).

a = 4.735 Å, b = 4.735 Å, c = 4.735 Å
α = 60.00°, β = 60.00°, γ = 60.00°
Positions (direct):
Ta (0.000, 0.000, 0.000)
Br (0.750, 0.750, 0.750)
Tl (0.500, 0.500, 0.500)

Output
energy above the most stable polymorph in this dataset	1.254	eV/atom
calculated density	10.29	g/cm3
V	25.0	A^3/atom
raw total energy	-3.91	eV/atom



Record 10
# CdAsF5

A geometry-optimized CdAsF5 structure (PBE, the Alexandria database).

a = 6.013 Å, b = 8.393 Å, c = 10.803 Å
α = 90.00°, β = 90.00°, γ = 114.82°
Positions (direct):
F (0.832, 0.459, 0.398)
As (0.750, 0.238, 0.993)
F (0.052, 0.798, 0.626)
Cd (0.167, 0.114, 0.245)
F (0.022, 0.151, 0.691)
F (0.332, 0.959, 0.102)
F (0.482, 0.125, 0.402)
F (0.978, 0.849, 0.309)
F (0.961, 0.151, 0.080)
F (0.948, 0.202, 0.374)
F (0.539, 0.349, 0.580)
As (0.250, 0.762, 0.007)
F (0.018, 0.375, 0.902)
As (0.250, 0.738, 0.507)
F (0.982, 0.625, 0.098)
F (0.039, 0.849, 0.920)
F (0.478, 0.349, 0.191)
F (0.168, 0.541, 0.602)
F (0.448, 0.702, 0.126)
Cd (0.667, 0.614, 0.255)
F (0.552, 0.298, 0.874)
F (0.522, 0.651, 0.809)
F (0.668, 0.041, 0.898)
Cd (0.333, 0.386, 0.745)
F (0.461, 0.651, 0.420)
F (0.518, 0.875, 0.598)
As (0.750, 0.262, 0.493)
Cd (0.833, 0.886, 0.755)

Output
calculated density	3.79	g/cm3
V	17.7	A^3/atom
raw total energy	-4.24	eV/atom



Record 11
# Er2AlAg3

A geometry-optimized Er2AlAg3 structure (PBE, the Alexandria database).

a = 3.685 Å, b = 4.257 Å, c = 9.165 Å
α = 103.43°, β = 101.60°, γ = 90.00°
Positions (direct):
Ag (0.310, 0.810, 0.619)
Er (0.877, 0.377, 0.753)
Ag (0.696, 0.696, 0.391)
Ag (0.538, 0.538, 0.076)
Al (0.460, 0.960, 0.920)
Er (0.120, 0.120, 0.240)

Output
energy above the most stable polymorph in this dataset	0.094	eV/atom
calculated density	8.31	g/cm3
V	22.8	A^3/atom
raw total energy	-3.79	eV/atom